Entry 1:
Tb2PmHoEr6 after structural relaxation. Source: Alexandria via LeMat-Bulk, functional PBE-GGA.

DFT formation energy in meV/atom: 120.5
Size of the total moment in μB per formula unit: 0.000
Final energy in eV/atom: -4.476

Cell lengths 9.5034, 8.7235, 8.7235 Å; angles 117.90, 93.89, 93.89 degrees
Closest atoms and distances in Å follow each position.
Atoms (fractional coordinates):
1 Ho 0.2500 0.4090 0.5910  8 Er 3.39-3.78, 2 Tb 3.51
2 Ho 0.7500 0.5910 0.4090  8 Er 3.39-3.78, 2 Tb 3.51
3 Tb 0.4548 0.8030 0.6978  6 Er 3.25-3.57, 2 Pm 3.36-3.38, 1 Ho 3.51
4 Tb 0.0452 0.3022 0.1970  6 Er 3.25-3.57, 2 Pm 3.36-3.38, 1 Ho 3.51
5 Tb 0.5452 0.1970 0.3022  6 Er 3.25-3.57, 2 Pm 3.36-3.38, 1 Ho 3.51
6 Tb 0.9548 0.6978 0.8030  6 Er 3.25-3.57, 2 Pm 3.36-3.38, 1 Ho 3.51
7 Er 0.3814 0.5074 0.2917  4 Er 3.19-3.47, 3 Tb 3.25-3.40, 2 Ho 3.39-3.51
8 Er 0.0574 0.1245 0.7478  7 Er 3.37-3.69, 1 Tb 3.49, 1 Pm 3.66
9 Er 0.5574 0.7478 0.1245  7 Er 3.37-3.69, 1 Tb 3.49, 1 Pm 3.66
10 Er 0.6838 0.0197 0.5690  3 Er 3.19-3.56, 1 Tb 3.37, 1 Ho 3.45, 1 Pm 3.55
11 Er 0.1186 0.7083 0.4926  4 Er 3.19-3.47, 3 Tb 3.25-3.40, 2 Ho 3.39-3.51
12 Er 0.8162 0.4310 0.9803  3 Er 3.19-3.56, 1 Tb 3.37, 1 Ho 3.45, 1 Pm 3.55
13 Er 0.3162 0.9803 0.4310  3 Er 3.19-3.56, 1 Tb 3.37, 1 Ho 3.45, 1 Pm 3.55
14 Er 0.9426 0.8755 0.2522  7 Er 3.37-3.69, 1 Tb 3.49, 1 Pm 3.66
15 Er 0.6186 0.4926 0.7083  4 Er 3.19-3.47, 3 Tb 3.25-3.40, 2 Ho 3.39-3.51
16 Er 0.8814 0.2917 0.5074  4 Er 3.19-3.47, 3 Tb 3.25-3.40, 2 Ho 3.39-3.51
17 Er 0.1838 0.5690 0.0197  3 Er 3.19-3.56, 1 Tb 3.37, 1 Ho 3.45, 1 Pm 3.55
18 Er 0.4426 0.2522 0.8755  7 Er 3.37-3.69, 1 Tb 3.49, 1 Pm 3.66
19 Pm 0.7500 0.0234 0.9766  4 Tb 3.36-3.38, 4 Er 3.55-3.66
20 Pm 0.2500 0.9766 0.0234  4 Tb 3.36-3.38, 4 Er 3.55-3.66

Entry 2:
TbPmHo2Er4 after structural relaxation. Source: Alexandria via LeMat-Bulk, functional PBE-GGA.

DFT formation energy in meV/atom: 444.8
Size of the total moment in μB per formula unit: 3.396
Final energy in eV/atom: -4.154

Cell lengths 9.4518, 9.4518, 11.6961 Å; angles 128.22, 128.22, 88.79 degrees
Closest atoms and distances in Å follow each position.
Atoms (fractional coordinates):
1 Er 0.2513 0.2482 0.5006  3 Ho 3.29-3.37, 1 Pm 3.33, 2 Er 3.38, 2 Tb 3.39
2 Er 0.7497 0.2476 0.4988  3 Ho 3.29-3.37, 1 Tb 3.32, 2 Er 3.36-3.40, 2 Pm 3.38
3 Er 0.2518 0.2487 0.9994  3 Ho 3.29-3.37, 1 Pm 3.33, 2 Er 3.38, 2 Tb 3.39
4 Er 0.2503 0.7524 0.5012  3 Ho 3.29-3.37, 1 Tb 3.32, 2 Er 3.36-3.40, 2 Pm 3.38
5 Er 0.7482 0.7513 0.0006  3 Ho 3.29-3.37, 1 Pm 3.33, 2 Er 3.38, 2 Tb 3.39
6 Er 0.2524 0.7503 0.0012  3 Ho 3.29-3.37, 1 Tb 3.32, 2 Er 3.36-3.40, 2 Pm 3.38
7 Er 0.7476 0.2497 0.9988  3 Ho 3.29-3.37, 1 Tb 3.32, 2 Er 3.36-3.40, 2 Pm 3.38
8 Er 0.7487 0.7518 0.4994  3 Ho 3.29-3.37, 1 Pm 3.33, 2 Er 3.38, 2 Tb 3.39
9 Pm 0.0000 0.5000 0.5000  6 Er 3.33-3.38, 2 Ho 3.38
10 Pm 0.0000 0.5000 0.0000  6 Er 3.33-3.38, 2 Ho 3.38
11 Ho 0.0000 0.0000 0.5000  6 Er 3.29-3.37, 2 Ho 3.38
12 Ho 0.5000 0.0000 0.0000  6 Er 3.29-3.37, 2 Pm 3.38
13 Ho 0.5000 0.5000 0.0000  6 Er 3.29-3.37, 2 Ho 3.38
14 Ho 0.5000 0.0000 0.5000  6 Er 3.29-3.37, 2 Pm 3.38
15 Tb 0.5000 0.5000 0.5000  6 Er 3.32-3.39, 2 Tb 3.38
16 Tb 0.0000 0.0000 0.0000  6 Er 3.32-3.39, 2 Tb 3.38

Entry 3:
Tb3Pm6HoEr2 after structural relaxation. Source: Alexandria via LeMat-Bulk, functional PBE-GGA.

DFT formation energy in meV/atom: 16.4
Size of the total moment in μB per formula unit: 0.000
Final energy in eV/atom: -4.658

Cell lengths 6.2485, 6.2485, 13.2171 Å; angles 103.70, 103.70, 119.93 degrees
Closest atoms and distances in Å follow each position.
Atoms (fractional coordinates):
1 Pm 0.7507 0.4171 0.7511  2 Er 3.57, 1 Ho 3.57, 3 Tb 3.59, 6 Pm 3.60-3.61
2 Pm 0.4171 0.7507 0.7511  2 Er 3.57, 1 Ho 3.57, 3 Tb 3.59, 6 Pm 3.60-3.61
3 Pm 0.9158 0.9158 0.2489  1 Ho 3.57, 2 Er 3.57, 3 Tb 3.59, 6 Pm 3.60-3.61
4 Pm 0.0842 0.0842 0.7511  1 Ho 3.57, 2 Er 3.57, 3 Tb 3.59, 6 Pm 3.60-3.61
5 Pm 0.5829 0.2493 0.2489  2 Er 3.57, 1 Ho 3.57, 3 Tb 3.59, 6 Pm 3.60-3.61
6 Pm 0.2493 0.5829 0.2489  2 Er 3.57, 1 Ho 3.57, 3 Tb 3.59, 6 Pm 3.60-3.61
7 Tb 0.1667 0.8333 0.5000  6 Pm 3.59, 6 Tb 3.61
8 Tb 0.8333 0.1667 0.5000  6 Pm 3.59, 6 Tb 3.61
9 Tb 0.5000 0.5000 0.5000  6 Pm 3.59, 6 Tb 3.61
10 Er 0.3333 0.6667 0.0000  6 Pm 3.57, 3 Ho 3.61, 3 Er 3.61
11 Er 0.6667 0.3333 0.0000  6 Pm 3.57, 3 Ho 3.61, 3 Er 3.61
12 Ho 0.0000 0.0000 0.0000  6 Pm 3.57, 6 Er 3.61

Entry 4:
Tb2Pm6HoEr3 after structural relaxation. Source: Alexandria via LeMat-Bulk, functional PBE-GGA.

DFT formation energy in meV/atom: 13.0
Size of the total moment in μB per formula unit: 0.000
Final energy in eV/atom: -4.656

Cell lengths 6.2282, 6.2282, 11.8006 Å; angles 95.03, 95.03, 119.98 degrees
Closest atoms and distances in Å follow each position.
Atoms (fractional coordinates):
1 Pm 0.9160 0.5829 0.7488  3 Er 3.56, 2 Tb 3.58, 1 Ho 3.58, 6 Pm 3.59-3.60
2 Pm 0.4171 0.0840 0.2512  3 Er 3.56, 2 Tb 3.58, 1 Ho 3.58, 6 Pm 3.59-3.60
3 Pm 0.2492 0.2492 0.7487  3 Er 3.56, 1 Ho 3.58, 2 Tb 3.58, 6 Pm 3.59-3.60
4 Pm 0.7508 0.7508 0.2513  3 Er 3.56, 1 Ho 3.58, 2 Tb 3.58, 6 Pm 3.59-3.60
5 Pm 0.0840 0.4171 0.2512  3 Er 3.56, 2 Tb 3.58, 1 Ho 3.58, 6 Pm 3.59-3.60
6 Pm 0.5829 0.9160 0.7488  3 Er 3.56, 2 Tb 3.58, 1 Ho 3.58, 6 Pm 3.59-3.60
7 Tb 0.6667 0.3333 0.0000  6 Pm 3.58, 3 Ho 3.60, 3 Tb 3.60
8 Tb 0.3333 0.6667 0.0000  6 Pm 3.58, 3 Ho 3.60, 3 Tb 3.60
9 Er 0.5000 0.5000 0.5000  6 Pm 3.56, 6 Er 3.60
10 Er 0.1666 0.8334 0.5000  6 Pm 3.56, 6 Er 3.59-3.60
11 Er 0.8334 0.1666 0.5000  6 Pm 3.56, 6 Er 3.59-3.60
12 Ho 0.0000 0.0000 0.0000  6 Pm 3.58, 6 Tb 3.60